(1)
! AgSbI2Br (SCAN, PBEsol geometry); values from VASP
! magnetic moment	0.00	μB per formula unit
! space-group type	No. 123
! energy relative to the elements, uncorrected	33.3	kJ/mol of atoms
! energy above the lowest structure with this stoichiometry	0	meV per atom
&SYSTEM
  ibrav = 0, nat = 5, ntyp = 4
/
ATOMIC_SPECIES
Ag 107.87 Ag.upf
Sb 121.76 Sb.upf
Br 79.90 Br.upf
I 126.90 I.upf
CELL_PARAMETERS angstrom
5.407 0.000 0.000
0.000 5.407 0.000
0.000 0.000 5.486
ATOMIC_POSITIONS crystal
Ag 0.000 0.000 0.000
Sb 0.000 0.000 0.500
Br 0.500 0.500 0.500
I 0.000 0.500 0.000
I 0.500 0.000 0.000

---

(2)
! Mo3Pt (SCAN, PBEsol geometry); values from VASP
! energy of formation from the pure elements	-5	kJ per mole of atoms
! magnetic moment	0.00	μB per formula unit
! space-group type	No. 10
! energy above the lowest structure with this stoichiometry	119	meV per atom
&SYSTEM
  ibrav = 0, nat = 4, ntyp = 2
/
ATOMIC_SPECIES
Mo 95.94 Mo.upf
Pt 195.08 Pt.upf
CELL_PARAMETERS angstrom
-1.173 1.546 1.821
-2.471 -3.164 1.094
4.009 -2.009 3.243
ATOMIC_POSITIONS crystal
Mo 0.500 0.500 0.000
Mo 0.084 0.000 0.754
Mo 0.916 0.000 0.246
Pt 0.500 0.500 0.500

---

(3)
! LiCe2Ru (SCAN, PBEsol geometry); values from VASP
! energy of formation from the pure elements	-10	kJ per mole of atoms
! magnetic moment	1.23	μB per formula unit
! space-group type	No. 225
&SYSTEM
  ibrav = 0, nat = 4, ntyp = 3
/
ATOMIC_SPECIES
Ru 101.07 Ru.upf
Ce 140.12 Ce.upf
Li 6.94 Li.upf
CELL_PARAMETERS angstrom
-4.680 -0.690 -1.160
-1.186 -2.964 -3.679
-2.130 -4.284 0.914
ATOMIC_POSITIONS crystal
Ru 0.000 0.000 0.000
Ce 0.250 0.250 0.250
Ce 0.750 0.750 0.750
Li 0.500 0.500 0.500

---

> Look up the magnetic moment of the second one.

0.00 μB per formula unit